Record 1
Ge3Pt: relaxed, PBE.

Computed properties:
ΔH_f (0 K)   -31.3 meV/atom
VASP energy   -0.3678 Ry/atom
Space group   P6_3/mmc (194)
Density of states at the Fermi level   4.09 states/eV per cell
Energy above the most stable polymorph in this dataset   0 meV/atom
Magnetization   0.0 μB per formula unit

The structure in extended XYZ format:
```
8
Lattice="3.9055 -6.7646 0.0000 3.9055 6.7646 0.0000 0.0000 0.0000 2.9951" Properties=species:S:1:pos:R:3 pbc="T T T"
Ge 3.9055 -4.3780 2.2463
Ge 5.7442 1.1933 0.7488
Ge 3.9055 4.3780 0.7488
Ge 2.0668 1.1933 0.7488
Ge 2.0668 -1.1933 2.2463
Ge 5.7442 -1.1933 2.2463
Pt 3.9055 -2.2549 0.7488
Pt 3.9055 2.2549 2.2463
```

---

Record 2
CeFe2C: relaxed, PBE.

Computed properties:
ΔH_f (0 K)   202.0 meV/atom
VASP energy   -0.5747 Ry/atom
Space group   R-3m (166)
Density of states at the Fermi level   4.06 states/eV per cell
Magnetization   1.9 μB per formula unit

The structure in extended XYZ format:
```
4
Lattice="-1.9594 0.4969 2.1002 -2.0106 -2.0162 0.6241 3.1391 -3.4523 5.7683" Properties=species:S:1:pos:R:3 pbc="T T T"
Fe -0.7289 -0.8989 1.5556
Fe -0.1021 -4.0727 6.9370
Ce -0.4155 -2.4858 4.2463
C 0.0000 0.0000 0.0000
```

---

Record 3
LiDy2Sc3Te6: relaxed, PBE.

Computed properties:
VASP energy   -0.3885 Ry/atom
Space group   C2/m (12)
Uncorrected formation energy   -1.206 eV/atom
Density of states at the Fermi level   5.01 states/eV per cell
Magnetization   0.0 μB per formula unit

The structure in extended XYZ format:
```
12
Lattice="4.2221 0.0000 0.0000 0.0000 8.5007 0.2842 -2.1111 -2.4726 8.9134" Properties=species:S:1:pos:R:3 pbc="T T T"
Te 2.1111 -0.3419 8.9273
Te 2.1111 -0.2077 2.9539
Te 2.1111 4.2192 3.0603
Te 0.0000 6.3700 0.2703
Te 0.0000 1.8089 6.1373
Te 0.0000 6.2358 6.2437
Sc 2.1111 -0.1810 5.9340
Sc 0.0000 6.2091 3.2636
Sc 2.1111 4.2504 0.1421
Dy 0.0000 2.0341 3.0952
Dy 2.1111 3.9940 6.1024
Li 2.1111 0.0000 0.0000
```

---

Record 4
KCuSn: relaxed, PBE.

Computed properties:
ΔH_f (0 K)   61.8 meV/atom
VASP energy   -0.2208 Ry/atom
Space group   P3m1 (156)
Density of states at the Fermi level   2.70 states/eV per cell
Energy above the most stable polymorph in this dataset   0 meV/atom
Magnetization   0.0 μB per formula unit

The structure in extended XYZ format:
```
3
Lattice="-4.2929 0.3512 3.3553 2.5402 -1.3784 3.3943 -0.3474 4.3523 -0.9001" Properties=species:S:1:pos:R:3 pbc="T T T"
K -1.2869 0.7662 4.2017
Cu -0.7111 0.0582 0.5557
Sn -0.1022 2.5008 1.0920
```

---

Record 5
In8Hg3I8: relaxed, PBE.

Computed properties:
VASP energy   -0.1623 Ry/atom
Space group   C2/m (12)
Uncorrected formation energy   -0.355 eV/atom
Density of states at the Fermi level   0.00 states/eV per cell
Magnetization   0.0 μB per formula unit

The structure in extended XYZ format:
```
19
Lattice="-1.8079 -5.9269 2.9778 8.0158 0.7677 6.3945 -9.2970 8.8188 3.9722" Properties=species:S:1:pos:R:3 pbc="T T T"
I -2.2730 4.1493 6.8785
I 2.4718 3.0970 7.6648
I 1.0217 0.7302 2.0737
I -4.1108 2.9294 11.2707
I 5.0685 -1.2079 8.6090
I -0.8160 -0.4897 6.4659
I -8.1576 4.8675 4.7354
I -5.5609 0.5626 5.6797
In -5.0004 3.6917 4.3121
In -9.0432 1.9559 6.3386
In 0.0567 -2.1676 3.6561
In 5.9541 1.7037 7.0058
In 1.9113 -0.0321 9.0324
In 0.2381 2.5701 5.2600
In -3.3272 1.0895 8.0844
In -3.1457 5.8272 9.6884
Hg -0.8048 1.2602 9.9557
Hg 3.1040 -2.5796 4.6861
Hg -2.2843 2.3994 3.3888
```

---

Record 6
Ta2CdSi: relaxed, PBE.

Computed properties:
VASP energy   -0.5418 Ry/atom
Space group   R-3m (166)
Uncorrected formation energy   0.140 eV/atom
Density of states at the Fermi level   2.02 states/eV per cell
Magnetization   0.0 μB per formula unit

The structure in extended XYZ format:
```
4
Lattice="-5.1210 -1.7145 -7.9549 -6.3129 -3.7523 -6.2057 -7.3241 -0.9942 -6.1493" Properties=species:S:1:pos:R:3 pbc="T T T"
Ta -0.1266 -0.0436 -0.1371
Ta -9.2524 -3.1869 -10.0178
Cd -4.6895 -1.6152 -5.0775
Si -14.0685 -4.8457 -15.2324
```